1:
! In3GaCu (PBE, relaxed); values from VASP
&SYSTEM
  ibrav = 0, nat = 5, ntyp = 3
/
ATOMIC_SPECIES
Cu 63.55 Cu.upf
Ga 69.72 Ga.upf
In 114.82 In.upf
ATOMIC_POSITIONS crystal
Cu 0.000 0.000 0.000
Ga 0.500 0.500 0.500
In 0.000 0.500 0.000
In 0.000 0.000 0.500
In 0.500 0.000 0.000
CELL_PARAMETERS angstrom
-3.706 0.986 -3.340
2.293 -2.980 -3.425
-2.621 -4.002 1.727
! V   132 Å³ per cell
! SG   Pm-3m, No. 221
! Spin magnetization   0.0 Bohr magnetons per cell

2:
! In3GaCu (PBE, relaxed); values from VASP
&SYSTEM
  ibrav = 0, nat = 5, ntyp = 3
/
ATOMIC_SPECIES
Cu 63.55 Cu.upf
Ga 69.72 Ga.upf
In 114.82 In.upf
ATOMIC_POSITIONS crystal
Cu 0.500 0.500 0.500
Ga 0.000 0.000 0.000
In 0.000 0.500 0.000
In 0.000 0.000 0.500
In 0.500 0.000 0.000
CELL_PARAMETERS angstrom
5.332 0.000 0.000
0.000 5.332 0.000
0.000 0.000 5.332
! V   152 Å³ per cell
! SG   Pm-3m, No. 221
! Spin magnetization   0.0 Bohr magnetons per cell

Tell me which of them is the least stable. Sure, it is 2.

1:
! GaCuIr (PBE, relaxed); values from VASP
&SYSTEM
  ibrav = 0, nat = 3, ntyp = 3
/
ATOMIC_SPECIES
Ir 192.22 Ir.upf
Ga 69.72 Ga.upf
Cu 63.55 Cu.upf
ATOMIC_POSITIONS crystal
Ir 0.290 0.290 0.580
Ga 0.951 0.951 0.903
Cu 0.609 0.609 0.217
CELL_PARAMETERS angstrom
-2.708 1.289 0.499
-0.763 -0.479 -2.904
0.057 -4.354 2.295
! V   41 Å³ per cell
! SG   I4mm, No. 107
! Spin magnetization   0.0 Bohr magnetons per cell

2:
! GaCuIr (PBE, relaxed); values from VASP
&SYSTEM
  ibrav = 0, nat = 3, ntyp = 3
/
ATOMIC_SPECIES
Ir 192.22 Ir.upf
Cu 63.55 Cu.upf
Ga 69.72 Ga.upf
ATOMIC_POSITIONS crystal
Ir 0.662 0.667 0.333
Cu 0.153 0.000 0.000
Ga 0.185 0.333 0.667
CELL_PARAMETERS angstrom
-2.644 -0.791 -0.470
-0.479 -0.781 4.013
-0.856 3.743 -1.485
! V   41 Å³ per cell
! SG   P3m1, No. 156
! Spin magnetization   0.0 Bohr magnetons per cell

3:
! GaCuIr (PBE, relaxed); values from VASP
&SYSTEM
  ibrav = 0, nat = 3, ntyp = 3
/
ATOMIC_SPECIES
Ga 69.72 Ga.upf
Cu 63.55 Cu.upf
Ir 192.22 Ir.upf
ATOMIC_POSITIONS crystal
Ga 0.500 0.500 0.000
Cu 0.000 0.000 0.000
Ir 0.500 0.000 0.500
CELL_PARAMETERS angstrom
-2.399 2.444 2.332
2.399 -2.444 2.332
2.399 2.444 -2.332
! V   55 Å³ per cell
! SG   Immm, No. 71
! Spin magnetization   0.0 Bohr magnetons per cell

Tell me which of them is the least stable. Sure, it is 3.

1:
! Ga3CuIr (PBE, relaxed); values from VASP
&SYSTEM
  ibrav = 0, nat = 5, ntyp = 3
/
ATOMIC_SPECIES
Ir 192.22 Ir.upf
Cu 63.55 Cu.upf
Ga 69.72 Ga.upf
ATOMIC_POSITIONS crystal
Ir 0.000 0.000 0.000
Cu 0.500 0.500 0.500
Ga 0.000 0.500 0.000
Ga 0.000 0.000 0.500
Ga 0.500 0.000 0.000
CELL_PARAMETERS angstrom
4.790 0.000 0.000
0.000 4.790 0.000
0.000 0.000 4.790
! V   110 Å³ per cell
! SG   Pm-3m, No. 221
! Spin magnetization   0.0 Bohr magnetons per cell

2:
! Ga3CuIr (PBE, relaxed); values from VASP
&SYSTEM
  ibrav = 0, nat = 10, ntyp = 3
/
ATOMIC_SPECIES
Ga 69.72 Ga.upf
Cu 63.55 Cu.upf
Ir 192.22 Ir.upf
ATOMIC_POSITIONS crystal
Ga 0.758 0.240 0.763
Ga 0.092 0.572 0.766
Ga 0.393 0.934 0.740
Ga 0.242 0.760 0.237
Ga 0.908 0.428 0.234
Ga 0.607 0.066 0.260
Cu 0.848 0.819 0.513
Cu 0.152 0.181 0.487
Ir 0.338 0.326 0.010
Ir 0.662 0.674 0.990
CELL_PARAMETERS angstrom
-4.685 -4.745 0.751
1.840 -3.853 -0.546
0.322 -3.076 5.797
! V   161 Å³ per cell
! SG   P-1, No. 2
! Spin magnetization   0.0 Bohr magnetons per cell

Tell me which of them is the least stable. Sure, it is 1.

1:
! SrGa2CuIr (PBE, relaxed); values from VASP
&SYSTEM
  ibrav = 0, nat = 5, ntyp = 4
/
ATOMIC_SPECIES
Sr 87.62 Sr.upf
Ir 192.22 Ir.upf
Cu 63.55 Cu.upf
Ga 69.72 Ga.upf
ATOMIC_POSITIONS crystal
Sr 0.500 0.500 0.500
Ir 0.000 0.000 0.000
Cu 0.000 0.000 0.500
Ga 0.000 0.500 0.000
Ga 0.500 0.000 0.000
CELL_PARAMETERS angstrom
4.752 0.000 0.000
0.000 4.752 0.000
0.000 0.000 5.016
! V   113 Å³ per cell
! SG   P4/mmm, No. 123
! Spin magnetization   0.0 Bohr magnetons per cell

2:
! SrGa2CuIr (PBE, relaxed); values from VASP
&SYSTEM
  ibrav = 0, nat = 5, ntyp = 4
/
ATOMIC_SPECIES
Sr 87.62 Sr.upf
Ga 69.72 Ga.upf
Cu 63.55 Cu.upf
Ir 192.22 Ir.upf
ATOMIC_POSITIONS crystal
Sr 0.000 0.000 0.006
Ga 0.333 0.667 0.329
Ga 0.667 0.333 0.658
Cu 0.333 0.667 0.696
Ir 0.667 0.333 0.311
CELL_PARAMETERS angstrom
4.280 0.000 0.000
-2.140 3.707 0.000
0.000 0.000 7.087
! V   112 Å³ per cell
! SG   P3m1, No. 156
! Spin magnetization   0.0 Bohr magnetons per cell

Tell me which of them is the least stable. Sure, it is 2.

1:
! KMgGaCu (PBE, relaxed); values from VASP
&SYSTEM
  ibrav = 0, nat = 12, ntyp = 4
/
ATOMIC_SPECIES
K 39.10 K.upf
Cu 63.55 Cu.upf
Mg 24.30 Mg.upf
Ga 69.72 Ga.upf
ATOMIC_POSITIONS crystal
K 0.000 0.000 0.575
K 0.333 0.667 0.241
K 0.667 0.333 0.908
Cu 0.000 0.000 0.764
Cu 0.333 0.667 0.431
Cu 0.667 0.333 0.098
Mg 0.000 0.000 0.391
Mg 0.333 0.667 0.057
Mg 0.667 0.333 0.724
Ga 0.000 0.000 0.105
Ga 0.333 0.667 0.772
Ga 0.667 0.333 0.438
CELL_PARAMETERS angstrom
-2.945 1.772 2.827
-1.416 -2.200 -3.600
-0.177 -16.242 9.995
! V   327 Å³ per cell
! SG   R3m, No. 160
! Spin magnetization   0.0 Bohr magnetons per cell

2:
! KMgGaCu (PBE, relaxed); values from VASP
&SYSTEM
  ibrav = 0, nat = 4, ntyp = 4
/
ATOMIC_SPECIES
K 39.10 K.upf
Mg 24.30 Mg.upf
Ga 69.72 Ga.upf
Cu 63.55 Cu.upf
ATOMIC_POSITIONS crystal
K 0.000 0.000 0.488
Mg 0.500 0.500 0.117
Ga 0.500 0.500 0.783
Cu 0.000 0.000 0.934
CELL_PARAMETERS angstrom
-0.574 1.026 3.046
-3.096 -0.993 -0.249
2.252 -7.790 3.050
! V   92 Å³ per cell
! SG   P4mm, No. 99
! Spin magnetization   0.0 Bohr magnetons per cell

Tell me which of them is the least stable. Sure, it is 2.

1:
! KMgGaCu (PBE, relaxed); values from VASP
&SYSTEM
  ibrav = 0, nat = 8, ntyp = 4
/
ATOMIC_SPECIES
K 39.10 K.upf
Mg 24.30 Mg.upf
Ga 69.72 Ga.upf
Cu 63.55 Cu.upf
ATOMIC_POSITIONS crystal
K 0.452 0.000 0.721
K 0.452 0.500 0.221
Mg 0.920 0.000 0.213
Mg 0.920 0.500 0.713
Ga 0.007 0.000 0.908
Ga 0.007 0.500 0.408
Cu 0.943 0.000 0.554
Cu 0.943 0.500 0.054
CELL_PARAMETERS angstrom
-1.607 -5.965 2.806
3.010 -2.089 -2.718
5.880 3.569 3.768
! V   225 Å³ per cell
! SG   Cm, No. 8
! Spin magnetization   0.0 Bohr magnetons per cell

2:
! KMgGaCu (PBE, relaxed); values from VASP
&SYSTEM
  ibrav = 0, nat = 4, ntyp = 4
/
ATOMIC_SPECIES
K 39.10 K.upf
Mg 24.30 Mg.upf
Ga 69.72 Ga.upf
Cu 63.55 Cu.upf
ATOMIC_POSITIONS crystal
K 0.000 0.500 0.546
Mg 0.000 0.500 0.020
Ga 0.500 0.000 0.219
Cu 0.500 0.000 0.893
CELL_PARAMETERS angstrom
4.036 0.000 0.000
0.000 3.159 0.000
0.000 0.000 7.665
! V   98 Å³ per cell
! SG   Pmm2, No. 25
! Spin magnetization   0.0 Bohr magnetons per cell

Tell me which of them is the least stable. Sure, it is 2.

1:
! KNa2GaCu (PBE, relaxed); values from VASP
&SYSTEM
  ibrav = 0, nat = 5, ntyp = 4
/
ATOMIC_SPECIES
Na 22.99 Na.upf
K 39.10 K.upf
Cu 63.55 Cu.upf
Ga 69.72 Ga.upf
ATOMIC_POSITIONS crystal
Na 0.000 0.500 0.000
Na 0.500 0.000 0.000
K 0.500 0.500 0.500
Cu 0.000 0.000 0.500
Ga 0.000 0.000 0.000
CELL_PARAMETERS angstrom
5.787 0.000 0.000
0.000 5.787 0.000
0.000 0.000 4.713
! V   158 Å³ per cell
! SG   P4/mmm, No. 123
! Spin magnetization   0.0 Bohr magnetons per cell

2:
! KNa2GaCu (PBE, relaxed); values from VASP
&SYSTEM
  ibrav = 0, nat = 5, ntyp = 4
/
ATOMIC_SPECIES
Na 22.99 Na.upf
K 39.10 K.upf
Cu 63.55 Cu.upf
Ga 69.72 Ga.upf
ATOMIC_POSITIONS crystal
Na 0.000 0.500 0.000
Na 0.500 0.000 0.000
K 0.500 0.500 0.500
Cu 0.000 0.000 0.000
Ga 0.000 0.000 0.500
CELL_PARAMETERS angstrom
-1.556 0.655 5.428
-5.410 -0.998 -1.430
0.650 -4.580 0.739
! V   151 Å³ per cell
! SG   P4/mmm, No. 123
! Spin magnetization   0.0 Bohr magnetons per cell

Tell me which of them is the least stable. Sure, it is 1.

1:
! La4GaCu (PBE, relaxed); values from VASP
&SYSTEM
  ibrav = 0, nat = 12, ntyp = 3
/
ATOMIC_SPECIES
La 138.91 La.upf
Ga 69.72 Ga.upf
Cu 63.55 Cu.upf
ATOMIC_POSITIONS crystal
La 0.608 0.250 0.447
La 0.392 0.750 0.553
La 0.672 0.250 0.879
La 0.328 0.750 0.121
La 0.893 0.020 0.219
La 0.107 0.520 0.781
La 0.893 0.480 0.219
La 0.107 0.980 0.781
Ga 0.312 0.250 0.086
Ga 0.688 0.750 0.914
Cu 0.197 0.250 0.554
Cu 0.803 0.750 0.446
CELL_PARAMETERS angstrom
4.963 0.000 -2.171
0.000 7.308 0.000
-0.163 0.000 9.639
! V   347 Å³ per cell
! SG   P2_1/m, No. 11
! Spin magnetization   0.0 Bohr magnetons per cell

2:
! La4GaCu (PBE, relaxed); values from VASP
&SYSTEM
  ibrav = 0, nat = 12, ntyp = 3
/
ATOMIC_SPECIES
La 138.91 La.upf
Ga 69.72 Ga.upf
Cu 63.55 Cu.upf
ATOMIC_POSITIONS crystal
La 0.897 0.654 0.158
La 0.603 0.154 0.842
La 0.332 0.337 0.338
La 0.168 0.837 0.662
La 0.103 0.346 0.842
La 0.397 0.846 0.158
La 0.668 0.663 0.662
La 0.832 0.163 0.338
Ga 0.000 0.000 0.000
Ga 0.500 0.500 0.000
Cu 0.500 0.000 0.500
Cu 0.000 0.500 0.500
CELL_PARAMETERS angstrom
-2.332 -1.395 6.239
-5.759 -4.247 -3.102
4.554 -5.872 -0.414
! V   393 Å³ per cell
! SG   P2_1/c, No. 14
! Spin magnetization   0.0 Bohr magnetons per cell

Tell me which of them is the least stable. Sure, it is 2.

1:
! La2Ga5Cu3 (PBE, relaxed); values from VASP
&SYSTEM
  ibrav = 0, nat = 20, ntyp = 3
/
ATOMIC_SPECIES
La 138.91 La.upf
Ga 69.72 Ga.upf
Cu 63.55 Cu.upf
ATOMIC_POSITIONS crystal
La 0.128 0.615 0.128
La 0.628 0.128 0.615
La 0.872 0.385 0.872
La 0.372 0.872 0.385
Ga 0.387 0.255 0.971
Ga 0.887 0.971 0.255
Ga 0.613 0.745 0.029
Ga 0.113 0.029 0.745
Ga 0.493 0.757 0.757
Ga 0.507 0.243 0.243
Ga 0.750 0.500 0.500
Ga 0.250 0.500 0.500
Ga 0.007 0.243 0.243
Ga 0.993 0.757 0.757
Cu 0.372 0.508 0.749
Cu 0.872 0.749 0.508
Cu 0.628 0.492 0.251
Cu 0.128 0.251 0.492
Cu 0.250 0.000 0.000
Cu 0.750 0.000 0.000
CELL_PARAMETERS angstrom
5.689 0.000 2.152
2.397 7.870 2.258
0.024 0.035 8.531
! V   381 Å³ per cell
! SG   Ibam, No. 72
! Spin magnetization   0.0 Bohr magnetons per cell

2:
! La2Ga5Cu3 (PBE, relaxed); values from VASP
&SYSTEM
  ibrav = 0, nat = 10, ntyp = 3
/
ATOMIC_SPECIES
La 138.91 La.upf
Ga 69.72 Ga.upf
Cu 63.55 Cu.upf
ATOMIC_POSITIONS crystal
La 0.500 0.000 0.265
La 0.000 0.500 0.735
Ga 0.500 0.500 0.000
Ga 0.000 0.000 0.000
Ga 0.500 0.000 0.849
Ga 0.000 0.500 0.151
Ga 0.500 0.500 0.500
Cu 0.500 0.000 0.612
Cu 0.000 0.500 0.388
Cu 0.000 0.000 0.500
CELL_PARAMETERS angstrom
4.369 0.000 0.000
0.000 4.369 0.000
0.000 0.000 10.134
! V   193 Å³ per cell
! SG   P-4m2, No. 115
! Spin magnetization   0.0 Bohr magnetons per cell

3:
! La2Ga5Cu3 (PBE, relaxed); values from VASP
&SYSTEM
  ibrav = 0, nat = 10, ntyp = 3
/
ATOMIC_SPECIES
La 138.91 La.upf
Ga 69.72 Ga.upf
Cu 63.55 Cu.upf
ATOMIC_POSITIONS crystal
La 0.500 0.000 0.743
La 0.000 0.500 0.257
Ga 0.000 0.500 0.865
Ga 0.500 0.000 0.382
Ga 0.500 0.000 0.135
Ga 0.000 0.500 0.618
Ga 0.500 0.500 0.000
Cu 0.000 0.000 0.500
Cu 0.000 0.000 0.000
Cu 0.500 0.500 0.500
CELL_PARAMETERS angstrom
-0.603 2.663 -3.334
2.635 -2.416 -2.406
-8.043 -5.692 -3.091
! V   192 Å³ per cell
! SG   P-4m2, No. 115
! Spin magnetization   0.0 Bohr magnetons per cell

Tell me which of them is the least stable. Sure, it is 2.

1:
! La2GaCu3 (PBE, relaxed); values from VASP
&SYSTEM
  ibrav = 0, nat = 6, ntyp = 3
/
ATOMIC_SPECIES
La 138.91 La.upf
Ga 69.72 Ga.upf
Cu 63.55 Cu.upf
ATOMIC_POSITIONS crystal
La 0.127 0.127 0.254
La 0.871 0.371 0.742
Ga 0.461 0.961 0.923
Cu 0.704 0.704 0.407
Cu 0.542 0.542 0.084
Cu 0.295 0.795 0.590
CELL_PARAMETERS angstrom
3.891 0.000 -1.036
-0.306 4.046 -1.150
0.121 0.165 8.282
! V   132 Å³ per cell
! SG   Imm2, No. 44
! Spin magnetization   0.0 Bohr magnetons per cell

2:
! La2GaCu3 (PBE, relaxed); values from VASP
&SYSTEM
  ibrav = 0, nat = 12, ntyp = 3
/
ATOMIC_SPECIES
La 138.91 La.upf
Ga 69.72 Ga.upf
Cu 63.55 Cu.upf
ATOMIC_POSITIONS crystal
La 0.250 0.750 0.500
La 0.760 0.760 0.000
La 0.750 0.250 0.500
La 0.240 0.240 0.000
Ga 0.665 0.665 0.330
Ga 0.335 0.335 0.670
Cu 0.334 0.831 0.165
Cu 0.169 0.666 0.835
Cu 0.666 0.169 0.835
Cu 0.831 0.334 0.165
Cu 0.168 0.168 0.336
Cu 0.832 0.832 0.664
CELL_PARAMETERS angstrom
5.846 -0.212 0.000
-0.439 5.833 0.000
-2.703 -2.810 7.675
! V   261 Å³ per cell
! SG   Fmmm, No. 69
! Spin magnetization   0.0 Bohr magnetons per cell

Tell me which of them is the least stable. Sure, it is 1.

1:
! LaGaCuPd (PBE, relaxed); values from VASP
&SYSTEM
  ibrav = 0, nat = 4, ntyp = 4
/
ATOMIC_SPECIES
Cu 63.55 Cu.upf
Ga 69.72 Ga.upf
Pd 106.42 Pd.upf
La 138.91 La.upf
ATOMIC_POSITIONS crystal
Cu 0.250 0.250 0.250
Ga 0.500 0.500 0.500
Pd 0.750 0.750 0.750
La 0.000 0.000 0.000
CELL_PARAMETERS angstrom
-2.308 2.690 -3.267
-3.888 -1.749 -2.250
-4.366 1.783 0.996
! V   79 Å³ per cell
! SG   F-43m, No. 216
! Spin magnetization   0.0 Bohr magnetons per cell

2:
! LaGaCuPd (PBE, relaxed); values from VASP
&SYSTEM
  ibrav = 0, nat = 4, ntyp = 4
/
ATOMIC_SPECIES
La 138.91 La.upf
Ga 69.72 Ga.upf
Cu 63.55 Cu.upf
Pd 106.42 Pd.upf
ATOMIC_POSITIONS crystal
La 0.615 0.231 0.488
Ga 0.122 0.244 0.009
Cu 0.818 0.635 0.095
Pd 0.411 0.822 0.875
CELL_PARAMETERS angstrom
-0.247 1.795 4.011
-2.083 -3.784 -0.850
5.464 -0.586 0.598
! V   82 Å³ per cell
! SG   R3m, No. 160
! Spin magnetization   0.0 Bohr magnetons per cell

Tell me which of them is the least stable. Sure, it is 1.

1:
! LaZn2GaCu (PBE, relaxed); values from VASP
&SYSTEM
  ibrav = 0, nat = 5, ntyp = 4
/
ATOMIC_SPECIES
La 138.91 La.upf
Zn 65.41 Zn.upf
Ga 69.72 Ga.upf
Cu 63.55 Cu.upf
ATOMIC_POSITIONS crystal
La 0.443 0.443 0.886
Zn 0.695 0.195 0.390
Zn 0.056 0.056 0.112
Ga 0.198 0.698 0.395
Cu 0.821 0.821 0.641
CELL_PARAMETERS angstrom
4.308 0.000 0.000
0.000 4.297 0.000
-2.154 -2.148 5.235
! V   97 Å³ per cell
! SG   Imm2, No. 44
! Spin magnetization   0.0 Bohr magnetons per cell

2:
! LaZn2GaCu (PBE, relaxed); values from VASP
&SYSTEM
  ibrav = 0, nat = 5, ntyp = 4
/
ATOMIC_SPECIES
Zn 65.41 Zn.upf
Cu 63.55 Cu.upf
Ga 69.72 Ga.upf
La 138.91 La.upf
ATOMIC_POSITIONS crystal
Zn 0.000 0.500 0.000
Zn 0.500 0.000 0.000
Cu 0.000 0.000 0.000
Ga 0.000 0.000 0.500
La 0.500 0.500 0.500
CELL_PARAMETERS angstrom
4.677 0.000 0.000
0.000 4.677 0.000
0.000 0.000 4.697
! V   103 Å³ per cell
! SG   P4/mmm, No. 123
! Spin magnetization   0.0 Bohr magnetons per cell

Tell me which of them is the least stable. Sure, it is 2.